## NiSeSBr2 (PBE)

Data for NiSeSBr2 after structural relaxation.

Calculated values
Its magnetic moment is 0.000 μB per formula unit. The offset from the most stable computed form is 0.0 meV/atom. The calculation puts the uncorrected formation energy at 538.9 meV/atom. The total energy is -14.045 eV per cell.

abc: 4.7630 4.7630 4.8351
angles: 90.00 90.00 90.00
Fractional coordinates of all 5 atoms:
Br (0.0000, 0.5000, 0.0000)
Br (0.5000, 0.0000, 0.0000)
Se (0.0000, 0.0000, 0.5000)
Ni (0.0000, 0.0000, 0.0000)
S (0.5000, 0.5000, 0.5000)